# 1
Below is Y2Br3O after structural relaxation, with properties calculated at the GGA-PBE level.

Calculated values
Raw formation energy ... -2292 meV per atom
Uncorrected energy ... -36.7 eV/f.u.

a = 18.803 Å, b = 3.949 Å, c = 11.593 Å
α = 90.00°, β = 126.04°, γ = 90.00°
Space group C2/m (No. 12)
Symmetry-distinct sites (fractional):
Y: 0.068 0.000 0.459 (multiplicity 4)
Y: 0.132 0.500 0.779 (multiplicity 4)
Br: 0.030 0.500 0.241 (multiplicity 4)
Br: 0.172 0.000 0.009 (multiplicity 4)
Br: 0.211 0.500 0.618 (multiplicity 4)
O: 0.081 0.000 0.667 (multiplicity 4)

=====

# 2
Below is La2EuTe after structural relaxation, with properties calculated at the GGA-PBE level.

Calculated values
Raw formation energy ... -620 meV per atom
Uncorrected energy ... -25.7 eV/f.u.

a = 4.1793 Å, b = 4.1793 Å, c = 31.1511 Å
α = 90.00°, β = 90.00°, γ = 120.00°
Space group R-3m (No. 166, hexagonal axes)
Symmetry-distinct sites (fractional):
La: 0.0000 0.0000 0.2339 (multiplicity 6)
Eu: 0.0000 0.0000 0.0000 (multiplicity 3)
Te: 0.0000 0.0000 0.5000 (multiplicity 3)

=====

# 3
Below is Er3B9Os2 after structural relaxation, with properties calculated at the GGA-PBE level.

Calculated values
ΔE_f ... -0.200 eV/atom
Uncorrected energy ... -99.1 eV/f.u.

a = 3.173 Å, b = 7.595 Å, c = 13.200 Å
α = 90.00°, β = 90.00°, γ = 90.00°
Space group Immm (No. 71)
Symmetry-distinct sites (fractional):
Er: 0.000 0.000 0.000 (multiplicity 2)
Er: 0.000 0.000 0.279 (multiplicity 4)
B: 0.000 0.246 0.131 (multiplicity 8)
B: 0.000 0.363 0.365 (multiplicity 8)
B: 0.000 0.500 0.000 (multiplicity 2)
Os: 0.000 0.181 0.500 (multiplicity 4)

=====

# 4
Below is La3Pr5Ho3 after structural relaxation, with properties calculated at the GGA-PBE level.

Calculated values
ΔE_f ... 0.301 eV/atom
Uncorrected energy ... -49.1 eV/f.u.

a = 11.5389 Å, b = 11.5389 Å, c = 3.4698 Å
α = 90.00°, β = 90.00°, γ = 120.00°
Space group P-62m (No. 189)
Symmetry-distinct sites (fractional):
La: 0.0000 0.4008 0.0000 (multiplicity 3)
Pr: 0.0000 0.6643 0.5000 (multiplicity 3)
Pr: 0.3333 0.6667 0.5000 (multiplicity 2)
Ho: 0.0000 0.1577 0.5000 (multiplicity 3)

=====

# 5
Below is KTe3Au after structural relaxation, with properties calculated at the GGA-PBE level.

Calculated values
Raw formation energy ... -248 meV per atom
Uncorrected energy ... -15.0 eV/f.u.

a = 6.7459 Å, b = 6.7459 Å, c = 13.0680 Å
α = 90.00°, β = 90.00°, γ = 120.00°
Space group R3m (No. 160, hexagonal axes)
Symmetry-distinct sites (fractional):
K: 0.0000 0.0000 0.0000 (multiplicity 3)
Te: 0.0024 0.5012 0.0983 (multiplicity 9)
Au: 0.0000 0.0000 0.5994 (multiplicity 3)

=====

# 6
Below is ScTcMo4 after structural relaxation, with properties calculated at the GGA-PBE level.

Calculated values
ΔE_f ... -0.052 eV/atom
Uncorrected energy ... -60.3 eV/f.u.

a = 9.576 Å, b = 4.487 Å, c = 5.458 Å
α = 90.00°, β = 124.44°, γ = 90.00°
Space group C2/m (No. 12)
Symmetry-distinct sites (fractional):
Sc: 0.000 0.000 0.000 (multiplicity 2)
Tc: 0.000 0.000 0.500 (multiplicity 2)
Mo: 0.162 0.500 0.834 (multiplicity 4)
Mo: 0.175 0.500 0.346 (multiplicity 4)

=====

# 7
Below is Dy3GeSe6 after structural relaxation, with properties calculated at the GGA-PBE level.

Calculated values
Raw formation energy ... -1416 meV per atom
Uncorrected energy ... -53.5 eV/f.u.

a = 11.176 Å, b = 13.935 Å, c = 6.881 Å
α = 90.00°, β = 90.00°, γ = 90.00°
Space group Cmc2_1 (No. 36)
Symmetry-distinct sites (fractional):
Dy: 0.000 0.096 0.000 (multiplicity 4)
Dy: 0.185 0.402 0.907 (multiplicity 8)
Ge: 0.000 0.299 0.365 (multiplicity 4)
Se: 0.000 0.281 0.745 (multiplicity 4)
Se: 0.000 0.466 0.209 (multiplicity 4)
Se: 0.162 0.033 0.705 (multiplicity 8)
Se: 0.172 0.231 0.177 (multiplicity 8)

=====

# 8
Below is LiAgPb4 after structural relaxation, with properties calculated at the GGA-PBE level.

Calculated values
ΔE_f ... 0.199 eV/atom
Uncorrected energy ... -18.4 eV/f.u.

a = 9.071 Å, b = 9.071 Å, c = 9.071 Å
α = 90.00°, β = 90.00°, γ = 90.00°
Space group F-43m (No. 216)
Symmetry-distinct sites (fractional):
Li: 0.000 0.000 0.000 (multiplicity 4)
Ag: 0.250 0.250 0.250 (multiplicity 4)
Pb: 0.125 0.125 0.625 (multiplicity 16)

=====

# 9
Below is Sm2Ga2Sn after structural relaxation, with properties calculated at the GGA-PBE level.

Calculated values
ΔE_f ... -0.614 eV/atom
Uncorrected energy ... -22.6 eV/f.u.

a = 11.450 Å, b = 4.451 Å, c = 10.760 Å
α = 90.00°, β = 115.52°, γ = 90.00°
Space group C2/m (No. 12)
Symmetry-distinct sites (fractional):
Sm: 0.015 0.000 0.184 (multiplicity 4)
Sm: 0.186 0.000 0.605 (multiplicity 4)
Ga: 0.042 0.500 0.403 (multiplicity 4)
Ga: 0.131 0.500 0.065 (multiplicity 4)
Sn: 0.201 0.500 0.832 (multiplicity 4)

=====

# 10
Below is PrGa3CuIr after structural relaxation, with properties calculated at the GGA-PBE level.

Calculated values
ΔE_f ... -0.332 eV/atom
Uncorrected energy ... -28.8 eV/f.u.

a = 6.211 Å, b = 11.697 Å, c = 6.485 Å
α = 90.00°, β = 90.00°, γ = 90.00°
Space group Cmcm (No. 63)
Symmetry-distinct sites (fractional):
Pr: 0.000 0.228 0.250 (multiplicity 4)
Ga: 0.000 0.323 0.750 (multiplicity 4)
Ga: 0.215 0.000 0.000 (multiplicity 8)
Cu: 0.000 0.475 0.250 (multiplicity 4)
Ir: 0.000 0.119 0.750 (multiplicity 4)

=====

# 11
Below is TiGaTeSe2 after structural relaxation, with properties calculated at the GGA-PBE level.

Calculated values
Raw formation energy ... 403 meV per atom
Uncorrected energy ... -19.0 eV/f.u.

a = 4.877 Å, b = 4.877 Å, c = 5.352 Å
α = 90.00°, β = 90.00°, γ = 90.00°
Space group P4/mmm (No. 123)
Symmetry-distinct sites (fractional):
Ti: 0.000 0.000 0.000 (multiplicity 1)
Ga: 0.500 0.500 0.500 (multiplicity 1)
Te: 0.500 0.500 0.000 (multiplicity 1)
Se: 0.000 0.500 0.500 (multiplicity 2)

=====

# 12
Below is Mn2InPb after structural relaxation, with properties calculated at the GGA-PBE level.

Calculated values
ΔE_f ... 0.410 eV/atom
Uncorrected energy ... -23.1 eV/f.u.

a = 4.422 Å, b = 4.422 Å, c = 4.069 Å
α = 90.00°, β = 90.00°, γ = 90.00°
Space group P4/mmm (No. 123)
Symmetry-distinct sites (fractional):
Mn: 0.000 0.500 0.000 (multiplicity 2)
In: 0.000 0.000 0.500 (multiplicity 1)
Pb: 0.500 0.500 0.500 (multiplicity 1)

=====

Copy entry 12 word for word.
Below is Mn2InPb after structural relaxation, with properties calculated at the GGA-PBE level.

Calculated values
ΔE_f ... 0.410 eV/atom
Uncorrected energy ... -23.1 eV/f.u.

a = 4.422 Å, b = 4.422 Å, c = 4.069 Å
α = 90.00°, β = 90.00°, γ = 90.00°
Space group P4/mmm (No. 123)
Symmetry-distinct sites (fractional):
Mn: 0.000 0.500 0.000 (multiplicity 2)
In: 0.000 0.000 0.500 (multiplicity 1)
Pb: 0.500 0.500 0.500 (multiplicity 1)

=====

- Among the records above, which one has the lowest uncorrected energy?
  Er3B9Os2

=====

Please write out number 12 again, unchanged.
Below is Mn2InPb after structural relaxation, with properties calculated at the GGA-PBE level.

Calculated values
ΔE_f ... 0.410 eV/atom
Uncorrected energy ... -23.1 eV/f.u.

a = 4.422 Å, b = 4.422 Å, c = 4.069 Å
α = 90.00°, β = 90.00°, γ = 90.00°
Space group P4/mmm (No. 123)
Symmetry-distinct sites (fractional):
Mn: 0.000 0.500 0.000 (multiplicity 2)
In: 0.000 0.000 0.500 (multiplicity 1)
Pb: 0.500 0.500 0.500 (multiplicity 1)

=====

- Among the records above, which one has the lowest uncorrected energy?
  Er3B9Os2